# 1
Rb2DyGeO4 | GGA-PBE | relaxed

- Total DFT energy (no corrections): -5.84 eV per atom
- Space-group type: I-4, No. 82

a = 6.2750 Å, b = 6.2750 Å, c = 6.2750 Å
α = 86.96°, β = 121.77°, γ = 121.77°
With the nearest neighbours (Å) after each atom.
Sites, in units of the cell vectors:
Rb 0.5000 0.7500 0.2500  4 O 3.04
Rb 0.0000 0.0000 0.0000  4 O 3.10
Dy 0.5000 0.2500 0.7500  4 O 2.17
Ge 0.0000 0.5000 0.5000  4 O 1.86
O 0.6661 0.3864 0.5088  1 Ge 1.86
O 0.1223 0.2796 0.6136  1 Ge 1.86
O 0.8777 0.4912 0.1573  1 Ge 1.86
O 0.3339 0.8427 0.7204  1 Ge 1.86


# 2
RbDyGeO4 | GGA-PBE | relaxed

- Total DFT energy (no corrections): -6.67 eV per atom
- Space-group type: P2_1/m, No. 11

a = 5.7726 Å, b = 5.9243 Å, c = 7.7350 Å
α = 90.00°, β = 108.02°, γ = 90.00°
With the nearest neighbours (Å) after each atom.
Sites, in units of the cell vectors:
Rb 0.6905 0.7500 0.9328  2 O 2.73-2.86
Rb 0.3095 0.2500 0.0672  2 O 2.73-2.86
Dy 0.7981 0.7500 0.4625  6 O 2.27-2.41
Dy 0.2019 0.2500 0.5375  6 O 2.27-2.41
Ge 0.2579 0.7500 0.3443  4 O 1.76-1.80
Ge 0.7421 0.2500 0.6557  4 O 1.76-1.80
O 0.9559 0.4766 0.6721  1 Ge 1.80
O 0.0441 0.9766 0.3279  1 Ge 1.80
O 0.0441 0.5234 0.3279  1 Ge 1.80
O 0.9559 0.0234 0.6721  1 Ge 1.80
O 0.4491 0.7500 0.2053  1 Ge 1.76
O 0.5509 0.2500 0.7947  1 Ge 1.76
O 0.4692 0.7500 0.5658  1 Ge 1.77
O 0.5308 0.2500 0.4342  1 Ge 1.77


Which of these has the highest total DFT energy (no corrections)? Rb2DyGeO4


total DFT energy (no corrections) of number 1 (Rb2DyGeO4)? -5.84 eV per atom


Look up the total DFT energy (no corrections) of the first one. -5.84 eV per atom


Look up the total DFT energy (no corrections) of the second one. -6.67 eV per atom